Material: LaTa2Ag
Method: DFT, GGA-PBE
State: relaxed

Unit cell a=3.184 b=4.875 c=10.696 alpha=90.00 beta=90.00 gamma=90.00
Space group Cmmm (No. 65)
Inequivalent atoms, fractional coordinates:
La: 0.000 0.000 0.000 x2
Ta: 0.000 0.500 0.271 x4
Ag: 0.000 0.000 0.500 x2

- Magnetization: 0.0 μB/cell
- Calculated total energy: -7.298 eV/atom